No. 1
Computed, not measured: a crystal of KMgCd2 relaxed with PBEsol at the meta-GGA SCAN level of DFT.

Cell lengths 3.132, 4.166, 8.277 Å; angles 90.00, 90.00, 90.00 degrees
Atoms (fractional coordinates):
K  0.500  0.500  0.000
Cd  0.000  0.000  0.310
Cd  0.000  0.000  0.690
Mg  0.500  0.500  0.500

Crystal system = orthorhombic
M_tot = 0.00 Bohr magnetons per cell
Formation energy from the elements = -0.32 eV per formula unit

---

No. 2
Computed, not measured: a crystal of KMg2Cd2 relaxed with PBEsol at the meta-GGA SCAN level of DFT.

Cell lengths 4.733, 4.733, 7.184 Å; angles 109.23, 109.23, 90.00 degrees
Atoms (fractional coordinates):
Mg  0.250  0.750  0.500
Mg  0.750  0.250  0.500
Cd  0.388  0.388  0.777
Cd  0.612  0.612  0.223
K  0.000  0.000  0.000

Crystal system = tetragonal
M_tot = 0.00 Bohr magnetons per cell
Formation energy from the elements = -0.37 eV per formula unit